(1)
# HoTi3

A relaxed structure of HoTi3 (GGA-PBE, Alexandria via LeMat-Bulk).

Output
energy	-27.536	eV for the cell shown
space group	No. 25

Cell: 3.0895 4.7997 5.4856 Å, 90.00 90.00 90.00°
Closest atoms and distances in Å follow each position.
Fractional positions:
Ho: 0.0000 0.0000 0.0000  10 Ti 3.07-3.17, 2 Ho 3.09
Ti: 0.0000 0.5000 0.6509  8 Ti 2.85-3.09, 2 Ho 3.07
Ti: 0.5000 0.0000 0.4964  8 Ti 2.86-3.09, 4 Ho 3.13-3.17
Ti: 0.5000 0.5000 0.2137  6 Ti 2.85-3.09, 4 Ho 3.09

---

(2)
# Ho2Ti

A relaxed structure of Ho2Ti (GGA-PBE, Alexandria via LeMat-Bulk).

Output
energy	-16.493	eV for the cell shown
space group	No. 139

Cell: 7.3504 7.3504 7.3504 Å, 153.65 153.65 37.60°
Closest atoms and distances in Å follow each position.
Fractional positions:
Ho: 0.1507 0.1507 0.0000  4 Ti 3.16, 4 Ho 3.35
Ho: 0.8493 0.8493 0.0000  4 Ti 3.16, 4 Ho 3.35
Ti: 0.5000 0.5000 0.0000  8 Ho 3.16, 4 Ti 3.35

---

(3)
# Ho3Ti

A relaxed structure of Ho3Ti (GGA-PBE, Alexandria via LeMat-Bulk).

Output
energy	-20.252	eV for the cell shown
space group	No. 25

Cell: 3.2652 3.2906 10.4815 Å, 90.00 90.00 90.00°
Closest atoms and distances in Å follow each position.
Fractional positions:
Ho: 0.0000 0.0000 0.0000  10 Ho 3.27-3.54
Ho: 0.0000 0.5000 0.2995  4 Ti 3.11, 4 Ho 3.27-3.29
Ho: 0.5000 0.5000 0.7497  2 Ti 3.11, 4 Ho 3.27-3.29
Ti: 0.5000 0.0000 0.4977  6 Ho 3.11, 4 Ti 3.27-3.29

---

(4)
# Ho3Ti

A relaxed structure of Ho3Ti (GGA-PBE, Alexandria via LeMat-Bulk).

Output
energy	-20.840	eV for the cell shown
space group	No. 221

Cell: 4.7577 4.7577 4.7577 Å, 90.00 90.00 90.00°
Closest atoms and distances in Å follow each position.
Fractional positions:
Ho: 0.0000 0.0000 0.5000  8 Ho 3.36, 4 Ti 3.36
Ho: 0.0000 0.5000 0.0000  8 Ho 3.36, 4 Ti 3.36
Ho: 0.5000 0.0000 0.0000  8 Ho 3.36, 4 Ti 3.36
Ti: 0.5000 0.5000 0.5000  12 Ho 3.36

---

(5)
# HoTiTl2

A relaxed structure of HoTiTl2 (GGA-PBE, Alexandria via LeMat-Bulk).

Output
energy	-17.375	eV for the cell shown
space group	No. 123

Cell: 4.6413 4.6413 4.4043 Å, 90.00 90.00 90.00°
Closest atoms and distances in Å follow each position.
Fractional positions:
Ho: 0.0000 0.0000 0.0000  8 Tl 3.20, 4 Ti 3.28
Ti: 0.5000 0.5000 0.0000  8 Tl 3.20, 4 Ho 3.28
Tl: 0.0000 0.5000 0.5000  4 Ho 3.20, 4 Ti 3.20, 4 Tl 3.28
Tl: 0.5000 0.0000 0.5000  4 Ho 3.20, 4 Ti 3.20, 4 Tl 3.28

---

(6)
# Ho2TiTl

A relaxed structure of Ho2TiTl (GGA-PBE, Alexandria via LeMat-Bulk).

Output
distance to the lowest polymorph of the same formula	0.01	eV per formula unit
space group	No. 123

Cell: 4.7893 4.7893 4.4085 Å, 90.00 90.00 90.00°
Closest atoms and distances in Å follow each position.
Fractional positions:
Ho: 0.0000 0.5000 0.0000  4 Tl 3.25, 4 Ti 3.25, 4 Ho 3.39
Ho: 0.5000 0.0000 0.0000  4 Tl 3.25, 4 Ti 3.25, 4 Ho 3.39
Ti: 0.0000 0.0000 0.5000  8 Ho 3.25, 4 Tl 3.39
Tl: 0.5000 0.5000 0.5000  8 Ho 3.25, 4 Ti 3.39

---

(7)
# HoTiTl2

A relaxed structure of HoTiTl2 (GGA-PBE, Alexandria via LeMat-Bulk).

Output
energy	-17.301	eV for the cell shown
space group	No. 123

Cell: 3.7010 3.7010 6.9376 Å, 90.00 90.00 90.00°
Closest atoms and distances in Å follow each position.
Fractional positions:
Ho: 0.0000 0.0000 0.0000  8 Tl 3.23, 2 Ti 3.47
Ti: 0.0000 0.0000 0.5000  8 Tl 3.05
Tl: 0.5000 0.5000 0.2735  4 Ti 3.05, 1 Tl 3.14, 4 Ho 3.23
Tl: 0.5000 0.5000 0.7265  4 Ti 3.05, 1 Tl 3.14, 4 Ho 3.23

---

(8)
# Ho2TiTl

A relaxed structure of Ho2TiTl (GGA-PBE, Alexandria via LeMat-Bulk).

Output
distance to the lowest polymorph of the same formula	1.47	eV per formula unit
space group	No. 166

Cell: 11.4289 11.4289 11.4289 Å, 16.77 16.77 16.77°
Closest atoms and distances in Å follow each position.
Fractional positions:
Ho: 0.0870 0.0870 0.0870  1 Ti 2.94
Ho: 0.9130 0.9130 0.9130  1 Ti 2.94
Ti: 0.0000 0.0000 0.0000  2 Ho 2.94
Tl: 0.5000 0.5000 0.5000  6 Ho 3.31, 6 Tl 3.33

---

(9)
# Ho2TiTl

A relaxed structure of Ho2TiTl (GGA-PBE, Alexandria via LeMat-Bulk).

Output
distance to the lowest polymorph of the same formula	0.12	eV per formula unit
space group	No. 225

Cell: 5.2536 5.2536 5.2536 Å, 60.00 60.00 60.00°
Closest atoms and distances in Å follow each position.
Fractional positions:
Ho: 0.2500 0.2500 0.2500  4 Tl 3.22, 4 Ti 3.22
Ho: 0.7500 0.7500 0.7500  4 Ti 3.22, 4 Tl 3.22
Ti: 0.0000 0.0000 0.0000  8 Ho 3.22
Tl: 0.5000 0.5000 0.5000  8 Ho 3.22

---

(10)
# Ho2TiTl

A relaxed structure of Ho2TiTl (GGA-PBE, Alexandria via LeMat-Bulk).

Output
distance to the lowest polymorph of the same formula	0.00	eV per formula unit
space group	No. 123

Cell: 3.5172 3.5172 8.2929 Å, 90.00 90.00 90.00°
Closest atoms and distances in Å follow each position.
Fractional positions:
Ho: 0.0000 0.0000 0.2418  4 Ti 3.19, 4 Tl 3.28, 4 Ho 3.52
Ho: 0.0000 0.0000 0.7582  4 Ti 3.19, 4 Tl 3.28, 4 Ho 3.52
Ti: 0.5000 0.5000 0.0000  8 Ho 3.19, 4 Ti 3.52
Tl: 0.5000 0.5000 0.5000  8 Ho 3.28, 4 Tl 3.52

---

(11)
# HoTiTl

A relaxed structure of HoTiTl (GGA-PBE, Alexandria via LeMat-Bulk).

Output
energy	-28.938	eV for the cell shown
space group	No. 166

Cell: 8.2316 8.2316 8.2316 Å, 33.85 33.85 33.85°
Closest atoms and distances in Å follow each position.
Fractional positions:
Ho: 0.2151 0.2151 0.2151  3 Tl 3.03, 1 Ti 3.14
Ho: 0.7849 0.7849 0.7849  3 Tl 3.03, 1 Ti 3.14
Ti: 0.3503 0.3503 0.3503  3 Ti 2.88, 3 Tl 2.99, 1 Ho 3.14
Ti: 0.6497 0.6497 0.6497  3 Ti 2.88, 3 Tl 2.99, 1 Ho 3.14
Tl: 0.0656 0.0656 0.0656  3 Ti 2.99, 3 Ho 3.03, 1 Tl 3.05
Tl: 0.9344 0.9344 0.9344  3 Ti 2.99, 3 Ho 3.03, 1 Tl 3.05

---

(12)
# HoTiTlZn

A relaxed structure of HoTiTlZn (GGA-PBE, Alexandria via LeMat-Bulk).

Output
energy	-16.376	eV for the cell shown
space group	No. 216

Cell: 4.9322 4.9322 4.9322 Å, 60.00 60.00 60.00°
Closest atoms and distances in Å follow each position.
Fractional positions:
Ho: 0.0000 0.0000 0.0000  4 Tl 3.02, 4 Zn 3.02
Ti: 0.5000 0.5000 0.5000  4 Zn 3.02, 4 Tl 3.02
Tl: 0.2500 0.2500 0.2500  4 Ti 3.02, 4 Ho 3.02
Zn: 0.7500 0.7500 0.7500  4 Ti 3.02, 4 Ho 3.02